A plane-wave DFT calculation with PBE was carried out for an optimized crystal structure of BaTa3Be.

Lattice parameters (Å, degrees): 5.042 5.042 5.042 90.00 90.00 90.00
Fractional coordinates of all 5 atoms:
1 Ba 0.000 0.000 0.000
2 Ta 0.000 0.000 0.500
3 Ta 0.000 0.500 0.000
4 Ta 0.500 0.000 0.000
5 Be 0.500 0.500 0.500

Calculated values
Raw total energy, eV per atom: -4.937
Spin magnetization, μB per formula unit: 0.00
Theoretical density, Mg/m³: 8.93
Polymorph energy (0 for the lowest one), eV per formula unit: 10.46